Compound: GaAsC2
Source: Alexandria via LeMat-Bulk
Functional: PBE
Structure: relaxed

Values from the calculation:
Its energy of formation from the pure elements is 0.577 eV per atom. As for the relative energy among the computed polymorphs: 0 meV per atom. Its total DFT energy (no corrections) is -5.95 eV/atom.

a = 4.646 Å, b = 4.646 Å, c = 9.127 Å
α = 90.00°, β = 90.00°, γ = 90.00°
Atoms (fractional coordinates):
Ga 0.000 0.000 0.000
Ga 0.000 0.500 0.250
Ga 0.500 0.000 0.750
Ga 0.500 0.500 0.500
As 0.000 0.000 0.500
As 0.000 0.500 0.750
As 0.500 0.000 0.250
As 0.500 0.500 0.000
C 0.232 0.250 0.625
C 0.250 0.732 0.875
C 0.250 0.768 0.375
C 0.268 0.250 0.125
C 0.732 0.750 0.125
C 0.750 0.232 0.375
C 0.750 0.268 0.875
C 0.768 0.750 0.625